Entry 1:
The following is a DFT calculation (PBE) of ZrScAu2 after structural relaxation.

Lattice parameters (Å, degrees): 3.3076 4.7037 5.2041 90.00 96.16 90.00
Space group Pm (No. 6)
Symmetry-distinct sites (fractional):
Zr 0.0000 0.0000 0.0000 [1 per cell]
Sc 0.1317 0.5000 0.5681 [1 per cell]
Au 0.5289 0.5000 0.1105 [1 per cell]
Au 0.6107 0.0000 0.4758 [1 per cell]

Properties
The calculation puts the total energy at -5.9909 eV/atom. The calculation puts the formation energy at -0.632 eV/atom.


Entry 2:
The following is a DFT calculation (PBE) of HgAsPt after structural relaxation.

Lattice parameters (Å, degrees): 4.6585 4.6585 2.9934 90.00 90.00 120.00
Space group P-6m2 (No. 187)
Symmetry-distinct sites (fractional):
Hg 0.0000 0.0000 0.0000 [1 per cell]
As 0.3333 0.6667 0.5000 [1 per cell]
Pt 0.6667 0.3333 0.5000 [1 per cell]

Properties
The calculation puts the total energy at -3.4886 eV/atom. The calculation puts the formation energy at 0.175 eV/atom.


Entry 3:
The following is a DFT calculation (PBE) of Na3OsF after structural relaxation.

Lattice parameters (Å, degrees): 5.6816 5.6816 5.6816 90.00 90.00 90.00
Space group Pm-3m (No. 221)
Symmetry-distinct sites (fractional):
Na 0.0000 0.0000 0.5000 [3 per cell]
Os 0.0000 0.0000 0.0000 [1 per cell]
F 0.5000 0.5000 0.5000 [1 per cell]

Properties
The calculation puts the total energy at -2.7449 eV/atom. As for the uncorrected formation energy: 0.67 eV per atom.


Entry 4:
The following is a DFT calculation (PBE) of CeGa2Au6 after structural relaxation.

Lattice parameters (Å, degrees): 5.7128 5.7128 7.1958 90.00 90.00 120.00
Space group P6/mmm (No. 191)
Symmetry-distinct sites (fractional):
Ce 0.0000 0.0000 0.0000 [1 per cell]
Ga 0.3333 0.6667 0.5000 [2 per cell]
Au 0.0000 0.5000 0.2049 [6 per cell]

Properties
The calculation puts the total energy at -3.7540 eV/atom. The calculation puts the formation energy at -0.237 eV/atom.


Entry 5:
The following is a DFT calculation (PBE) of Ca2ScOs after structural relaxation.

Lattice parameters (Å, degrees): 4.5393 4.5393 18.5407 90.00 90.00 120.00
Space group R3m (No. 160, hexagonal axes)
Symmetry-distinct sites (fractional):
Ca 0.0000 0.0000 0.0000 [3 per cell]
Ca 0.0000 0.0000 0.2005 [3 per cell]
Sc 0.0000 0.0000 0.7649 [3 per cell]
Os 0.0000 0.0000 0.4303 [3 per cell]

Properties
The calculation puts the total energy at -5.2649 eV/atom. The calculation puts the formation energy at 0.126 eV/atom.


Entry 6:
The following is a DFT calculation (PBE) of KBaSrEu after structural relaxation.

Lattice parameters (Å, degrees): 9.7446 9.7446 9.7446 90.00 90.00 90.00
Space group F-43m (No. 216)
Symmetry-distinct sites (fractional):
K 0.0000 0.0000 0.0000 [4 per cell]
Ba 0.2500 0.2500 0.7500 [4 per cell]
Sr 0.2500 0.2500 0.2500 [4 per cell]
Eu 0.0000 0.0000 0.5000 [4 per cell]

Properties
The calculation puts the total energy at -3.6015 eV/atom. The calculation puts the formation energy at 0.143 eV/atom.


Entry 7:
The following is a DFT calculation (PBE) of SrCa5Sb4 after structural relaxation.

Lattice parameters (Å, degrees): 17.4879 5.1057 7.9276 90.00 94.25 90.00
Space group C2/m (No. 12)
Symmetry-distinct sites (fractional):
Sr 0.0000 0.0000 0.0000 [2 per cell]
Ca 0.0000 0.0000 0.5000 [2 per cell]
Ca 0.1579 0.5000 0.4761 [4 per cell]
Ca 0.1695 0.5000 0.0014 [4 per cell]
Sb 0.0312 0.5000 0.7407 [4 per cell]
Sb 0.1898 0.0000 0.2462 [4 per cell]

Properties
The calculation puts the total energy at -3.7732 eV/atom. As for the uncorrected formation energy: -0.96 eV per atom.


Entry 8:
The following is a DFT calculation (PBE) of HfPd2Au2 after structural relaxation.

Lattice parameters (Å, degrees): 3.7386 3.7386 13.3731 90.00 90.00 90.00
Space group I4/mmm (No. 139)
Symmetry-distinct sites (fractional):
Hf 0.0000 0.0000 0.0000 [2 per cell]
Pd 0.0000 0.5000 0.2500 [4 per cell]
Au 0.0000 0.0000 0.4001 [4 per cell]

Properties
The calculation puts the total energy at -5.5312 eV/atom. The calculation puts the formation energy at -0.152 eV/atom.


Entry 9:
The following is a DFT calculation (PBE) of Li3GeTe after structural relaxation.

Lattice parameters (Å, degrees): 4.7986 4.7986 4.7986 90.00 90.00 90.00
Space group Pm-3m (No. 221)
Symmetry-distinct sites (fractional):
Li 0.0000 0.0000 0.5000 [3 per cell]
Ge 0.0000 0.0000 0.0000 [1 per cell]
Te 0.5000 0.5000 0.5000 [1 per cell]

Properties
The calculation puts the total energy at -2.7607 eV/atom. As for the uncorrected formation energy: -0.06 eV per atom.


Entry 10:
The following is a DFT calculation (PBE) of Mg2Si3 after structural relaxation.

Lattice parameters (Å, degrees): 3.5732 5.9926 17.8757 81.57 85.53 73.71
Space group P-1 (No. 2)
Symmetry-distinct sites (fractional):
Mg 0.0171 0.1636 0.3016 [2 per cell]
Mg 0.1016 0.3601 0.9373 [2 per cell]
Mg 0.2790 0.1450 0.7961 [2 per cell]
Mg 0.3458 0.3393 0.4489 [2 per cell]
Si 0.0934 0.1917 0.1384 [2 per cell]
Si 0.0949 0.8793 0.4479 [2 per cell]
Si 0.3129 0.5503 0.3064 [2 per cell]
Si 0.3212 0.2150 0.6420 [2 per cell]
Si 0.3253 0.8855 0.9597 [2 per cell]
Si 0.4457 0.4560 0.1785 [2 per cell]

Properties
The calculation puts the total energy at -3.7734 eV/atom. As for the uncorrected formation energy: 0.12 eV per atom.


Entry 11:
The following is a DFT calculation (PBE) of MnV2CrIn after structural relaxation.

Lattice parameters (Å, degrees): 4.1879 4.1879 4.8986 90.00 90.00 90.00
Space group P4/mmm (No. 123)
Symmetry-distinct sites (fractional):
Mn 0.0000 0.0000 0.0000 [1 per cell]
V 0.0000 0.5000 0.5000 [2 per cell]
Cr 0.5000 0.5000 0.5000 [1 per cell]
In 0.5000 0.5000 0.0000 [1 per cell]

Properties
The calculation puts the total energy at -6.6393 eV/atom. The calculation puts the formation energy at 1.314 eV/atom.


Entry 12:
The following is a DFT calculation (PBE) of Dy5Tl2Ru after structural relaxation.

Lattice parameters (Å, degrees): 8.8702 10.0429 6.6226 90.00 131.05 90.00
Space group Cm (No. 8)
Symmetry-distinct sites (fractional):
Dy 0.0000 0.0000 0.0000 [2 per cell]
Dy 0.0192 0.5000 0.5630 [2 per cell]
Dy 0.0911 0.0000 0.5704 [2 per cell]
Dy 0.3047 0.2459 0.0656 [4 per cell]
Tl 0.3007 0.2723 0.5476 [4 per cell]
Ru 0.2147 0.5000 0.0973 [2 per cell]

Properties
The calculation puts the total energy at -4.8089 eV/atom. The calculation puts the formation energy at -0.182 eV/atom.


Entry 13:
The following is a DFT calculation (PBE) of Ac6CuIr3 after structural relaxation.

Lattice parameters (Å, degrees): 12.5839 4.4035 13.1459 90.00 112.04 90.00
Space group P2_1/m (No. 11)
Symmetry-distinct sites (fractional):
Ac 0.0474 0.2500 0.3955 [2 per cell]
Ac 0.0956 0.7500 0.9309 [2 per cell]
Ac 0.2444 0.2500 0.7731 [2 per cell]
Ac 0.2494 0.7500 0.2679 [2 per cell]
Ac 0.4101 0.2500 0.5646 [2 per cell]
Ac 0.4376 0.2500 0.1024 [2 per cell]
Cu 0.2034 0.7500 0.5675 [2 per cell]
Ir 0.0038 0.2500 0.7694 [2 per cell]
Ir 0.3339 0.7500 0.9379 [2 per cell]
Ir 0.4180 0.2500 0.3378 [2 per cell]

Properties
The calculation puts the total energy at -6.0440 eV/atom. The calculation puts the formation energy at -0.511 eV/atom.


Entry 14:
The following is a DFT calculation (PBE) of TaPt3N after structural relaxation.

Lattice parameters (Å, degrees): 4.2180 4.2180 4.2180 90.00 90.00 90.00
Space group Pm-3m (No. 221)
Symmetry-distinct sites (fractional):
Ta 0.0000 0.0000 0.0000 [1 per cell]
Pt 0.0000 0.5000 0.5000 [3 per cell]
N 0.5000 0.5000 0.5000 [1 per cell]

Properties
The calculation puts the total energy at -7.1314 eV/atom. As for the uncorrected formation energy: 0.53 eV per atom.


Entry 15:
The following is a DFT calculation (PBE) of Si2PtRhAu after structural relaxation.

Lattice parameters (Å, degrees): 4.4932 4.4932 5.1459 90.00 90.00 90.00
Space group P4/mmm (No. 123)
Symmetry-distinct sites (fractional):
Si 0.0000 0.5000 0.0000 [2 per cell]
Pt 0.0000 0.0000 0.0000 [1 per cell]
Rh 0.5000 0.5000 0.5000 [1 per cell]
Au 0.0000 0.0000 0.5000 [1 per cell]

Properties
The calculation puts the total energy at -4.7947 eV/atom. As for the uncorrected formation energy: 0.71 eV per atom.


Entry 16:
The following is a DFT calculation (PBE) of Dy2AgS4 after structural relaxation.

Lattice parameters (Å, degrees): 6.6683 5.3087 8.5797 90.00 99.12 90.00
Space group P2_1/m (No. 11)
Symmetry-distinct sites (fractional):
Dy 0.1622 0.2500 0.3557 [2 per cell]
Dy 0.2404 0.2500 0.9322 [2 per cell]
Ag 0.3348 0.7500 0.5828 [2 per cell]
S 0.0288 0.7500 0.3784 [2 per cell]
S 0.0903 0.7500 0.9060 [2 per cell]
S 0.4434 0.5103 0.2044 [4 per cell]

Properties
The calculation puts the total energy at -5.4303 eV/atom. As for the uncorrected formation energy: -1.35 eV per atom.


Entry 17:
The following is a DFT calculation (PBE) of RbHg2I after structural relaxation.

Lattice parameters (Å, degrees): 14.1872 6.9367 6.9336 90.00 90.22 90.00
Space group Cc (No. 9)
Symmetry-distinct sites (fractional):
Rb 0.0000 0.2503 0.0000 [4 per cell]
Hg 0.2161 0.0653 0.3186 [4 per cell]
Hg 0.2166 0.4366 0.6862 [4 per cell]
I 0.4284 0.2502 0.9994 [4 per cell]

Properties
The calculation puts the total energy at -1.4476 eV/atom. As for the uncorrected formation energy: -0.67 eV per atom.


Entry 18:
The following is a DFT calculation (PBE) of HoP2Pd6 after structural relaxation.

Lattice parameters (Å, degrees): 4.0766 4.0766 8.6213 90.00 90.00 90.00
Space group P4/mmm (No. 123)
Symmetry-distinct sites (fractional):
Ho 0.0000 0.0000 0.0000 [1 per cell]
P 0.5000 0.5000 0.1266 [2 per cell]
Pd 0.0000 0.0000 0.5000 [1 per cell]
Pd 0.0000 0.5000 0.2683 [4 per cell]
Pd 0.5000 0.5000 0.5000 [1 per cell]

Properties
The calculation puts the total energy at -5.8034 eV/atom. The calculation puts the formation energy at -0.631 eV/atom.


Entry 19:
The following is a DFT calculation (PBE) of KCaRuO4 after structural relaxation.

Lattice parameters (Å, degrees): 6.1204 5.8883 7.2474 90.00 106.40 90.00
Space group P2_1/m (No. 11)
Symmetry-distinct sites (fractional):
K 0.2420 0.2500 0.4460 [2 per cell]
Ca 0.3203 0.2500 0.9629 [2 per cell]
Ru 0.2137 0.7500 0.1629 [2 per cell]
O 0.0349 0.7500 0.9187 [2 per cell]
O 0.0512 0.7500 0.3333 [2 per cell]
O 0.4520 0.5320 0.1921 [4 per cell]

Properties
The calculation puts the total energy at -6.1994 eV/atom. As for the uncorrected formation energy: -1.60 eV per atom.